{"formula": "CePrC", "functional": "PBE", "state": "optimized geometry", "lattice": [[6.287, 0.000, 0.000], [0.000, 3.631, 0.000], [-2.015, 0.000, 6.619]], "species": ["Ce", "Ce", "Pr", "Pr", "C", "C"], "fractional_positions": [[0.000, 0.000, 0.000], [0.500, 0.500, 0.000], [0.029, 0.500, 0.570], [0.529, 0.000, 0.570], [0.272, 0.000, 0.809], [0.772, 0.500, 0.809]], "formation_enthalpy_0k_mev_per_atom": -97, "rho_g_cm3": 6.4, "relative_energy_ev_per_fu": 0.00}